Record 1
# AlGaHg

A geometry-optimized AlGaHg structure (GGA-PBE, Alexandria).

abc: 2.8267 4.2929 12.1140
angles: 79.79 90.00 90.00
Closest atoms and distances in Å follow each position.
Fractional positions:
Ga: 0.2500 0.0486 0.9028  2 Al 2.57, 4 Ga 2.71-2.83
Ga: 0.7500 0.9514 0.0972  2 Al 2.57, 4 Ga 2.71-2.83
Hg: 0.2500 0.2901 0.4198  2 Al 2.82, 2 Hg 2.83
Hg: 0.7500 0.7099 0.5802  2 Al 2.82, 2 Hg 2.83
Al: 0.2500 0.6077 0.7845  2 Ga 2.57, 2 Hg 2.82, 2 Al 2.83
Al: 0.7500 0.3923 0.2155  2 Ga 2.57, 2 Hg 2.82, 2 Al 2.83

Output
Magnetization = 0.0 μB per cell
Formation energy from the elements = 0.19 eV per atom


Record 2
# ScReAs2Rh

A geometry-optimized ScReAs2Rh structure (GGA-PBE, Alexandria).

abc: 4.7161 4.8074 4.7161
angles: 90.00 90.00 90.00
Closest atoms and distances in Å follow each position.
Fractional positions:
As: 0.5000 0.0000 0.0000  2 Rh 2.36
As: 0.0000 0.0000 0.5000  2 Rh 2.36
Sc: 0.5000 0.5000 0.5000  4 Re 3.33, 8 As 3.37
Rh: 0.0000 0.0000 0.0000  4 As 2.36, 2 Re 2.40
Re: 0.0000 0.5000 0.0000  2 Rh 2.40

Output
Magnetization = 0.1 μB per cell
Formation energy from the elements = 0.78 eV per atom


Record 3
# SbO

A geometry-optimized SbO structure (GGA-PBE, Alexandria).

abc: 8.7107 8.7107 4.1511
angles: 90.00 90.00 90.00
Closest atoms and distances in Å follow each position.
Fractional positions:
O: 0.7251 0.3284 0.5000  3 Sb 2.07-2.20
O: 0.2749 0.6716 0.5000  3 Sb 2.07-2.20
O: 0.7749 0.1716 0.0000  3 Sb 2.07-2.20
O: 0.8284 0.7749 0.0000  3 Sb 2.07-2.20
O: 0.3284 0.2749 0.5000  3 Sb 2.07-2.20
O: 0.6716 0.7251 0.5000  3 Sb 2.07-2.20
O: 0.1716 0.2251 0.0000  3 Sb 2.07-2.20
O: 0.2251 0.8284 0.0000  3 Sb 2.07-2.20
Sb: 0.7556 0.4082 0.0000  3 O 2.07-2.20
Sb: 0.2556 0.9082 0.5000  3 O 2.07-2.20
Sb: 0.4082 0.2444 0.0000  3 O 2.07-2.20
Sb: 0.5918 0.7556 0.0000  3 O 2.07-2.20
Sb: 0.7444 0.0918 0.5000  3 O 2.07-2.20
Sb: 0.9082 0.7444 0.5000  3 O 2.07-2.20
Sb: 0.0918 0.2556 0.5000  3 O 2.07-2.20
Sb: 0.2444 0.5918 0.0000  3 O 2.07-2.20

Output
Magnetization = 0.0 μB per cell
Formation energy (no corrections) = -782 meV per atom


Record 4
# TlOsPdI2

A geometry-optimized TlOsPdI2 structure (GGA-PBE, Alexandria).

abc: 5.5549 5.1468 5.5549
angles: 90.00 90.00 90.00
Closest atoms and distances in Å follow each position.
Fractional positions:
Tl: 0.5000 0.5000 0.5000  8 I 3.79, 4 Os 3.93
Pd: 0.0000 0.0000 0.0000  2 Os 2.57, 4 I 2.78
I: 0.5000 0.0000 0.0000  2 Pd 2.78
I: 0.0000 0.0000 0.5000  2 Pd 2.78
Os: 0.0000 0.5000 0.0000  2 Pd 2.57

Output
Magnetization = 3.4 μB per cell
Formation energy (no corrections) = 900 meV per atom


Record 5
# CaMg2MoCl

A geometry-optimized CaMg2MoCl structure (GGA-PBE, Alexandria).

abc: 5.4102 4.5722 5.4102
angles: 90.00 90.00 90.00
Closest atoms and distances in Å follow each position.
Fractional positions:
Mg: 0.5000 0.0000 0.0000  2 Mo 2.71
Mg: 0.0000 0.0000 0.5000  2 Mo 2.71
Mo: 0.0000 0.0000 0.0000  2 Cl 2.29
Cl: 0.0000 0.5000 0.0000  2 Mo 2.29
Ca: 0.5000 0.5000 0.5000  8 Mg 3.54, 4 Cl 3.83

Output
Magnetization = 0.0 μB per cell
Formation energy (no corrections) = 315 meV per atom


Record 6
# NdGdPb2

A geometry-optimized NdGdPb2 structure (GGA-PBE, Alexandria).

abc: 5.5465 5.5465 5.5465
angles: 60.00 60.00 60.00
Closest atoms and distances in Å follow each position.
Fractional positions:
Pb: 0.2500 0.2500 0.2500  4 Nd 3.40, 4 Gd 3.40
Pb: 0.7500 0.7500 0.7500  4 Gd 3.40, 4 Nd 3.40
Nd: 0.5000 0.5000 0.5000  8 Pb 3.40
Gd: 0.0000 0.0000 0.0000  8 Pb 3.40

Output
Magnetization = 7.4 μB per cell
Formation energy from the elements = -0.43 eV per atom


Record 7
# In4S5O

A geometry-optimized In4S5O structure (GGA-PBE, Alexandria).

abc: 3.7912 8.0430 8.2119
angles: 106.46 103.35 90.00
Closest atoms and distances in Å follow each position.
Fractional positions:
S: 0.5000 0.5000 0.0000  4 In 2.65
S: 0.8402 0.6840 0.6804  3 In 2.45-2.59
S: 0.1598 0.3160 0.3196  3 In 2.45-2.59
S: 0.8424 0.1262 0.6848  3 In 2.47-2.62
S: 0.1576 0.8738 0.3152  3 In 2.47-2.62
O: 0.5000 0.0000 0.0000  2 In 2.18
In: 0.0013 0.2711 0.0026  4 S 2.45-2.65
In: 0.3575 0.9112 0.7149  1 O 2.18
In: 0.6425 0.0888 0.2851  1 O 2.18
In: 0.9987 0.7289 0.9974  4 S 2.45-2.65

Output
Magnetization = 0.0 μB per cell
Formation energy (no corrections) = -583 meV per atom


Record 8
# NiMo3P

A geometry-optimized NiMo3P structure (GGA-PBE, Alexandria).

abc: 4.4120 4.4120 4.4120
angles: 90.00 90.00 90.00
Closest atoms and distances in Å follow each position.
Fractional positions:
Mo: 0.0000 0.5000 0.0000  2 P 2.21
Mo: 0.5000 0.0000 0.0000  2 P 2.21
Mo: 0.0000 0.0000 0.5000  2 P 2.21
Ni: 0.5000 0.5000 0.5000  12 Mo 3.12
P: 0.0000 0.0000 0.0000  6 Mo 2.21

Output
Magnetization = 0.0 μB per cell
Formation energy from the elements = 0.83 eV per atom